## La2Pr6Ag (GGA-PBE)

Data for La2Pr6Ag after structural relaxation.

Calculated values
**Magnetization**: 0.000 Bohr magnetons per cell
**Formation energy**: 0.059 eV per atom

Structure (extended XYZ):
```
9
Lattice="-3.356 0.915 -1.290 -1.315 -9.982 -3.658 -0.899 2.420 9.404" Properties=species:S:1:pos:R:3 pbc="T T T"
Ag 0.000 0.000 0.000
Pr -4.593 -7.437 1.358
Pr -2.017 -2.112 -1.586
Pr -0.978 0.791 3.098
Pr -1.389 -2.331 1.955
Pr -4.182 -4.316 2.502
Pr -2.655 -6.956 -3.361
La -1.538 -5.568 0.064
La -4.032 -1.078 4.393
```